# PmLuPu2 PBE relaxed
# * DFT total energy: -37.18 eV per cell
# * total magnetic moment: 12.46 Bohr magnetons per cell
# * volume: 116.7 Å³ per cell
# * density of states at the Fermi level: 15.68 states/eV per cell
data_PmLuPu2
_chemical_formula_sum 'Pm1 Lu1 Pu2'
_cell_length_a 4.817
_cell_length_b 4.817
_cell_length_c 5.032
_cell_angle_alpha 90.00
_cell_angle_beta 90.00
_cell_angle_gamma 90.00
_space_group_name_H-M_alt 'P 4/m m m'
_space_group_IT_number 123
_space_group_name_Hall '-P 4 2'
loop_
_atom_site_label
_atom_site_fract_x
_atom_site_fract_y
_atom_site_fract_z
Pm1 0.000 0.000 0.000
Lu1 0.500 0.500 0.000
Pu1 0.000 0.500 0.500